1.
This record from OQMD describes an optimized crystal structure of Re. The functional is GGA-PBE.

Properties
- Energy relative to the lowest polymorph listed for this composition: 0.656 eV per atom
- Uncorrected energy: -47.1 eV per cell
- Total magnetization: 0.00 μB per cell

Cell and atoms, written as POSCAR:
```
Re
1.0
2.254 -4.847 0.000
2.254 4.847 0.000
0.000 0.000 2.927
Re
4
direct
0.138 0.862 0.943
0.362 0.638 0.443
0.638 0.362 0.557
0.862 0.138 0.057
```

---

2.
This record from OQMD describes an optimized crystal structure of Re. The functional is GGA-PBE.

Properties
- Energy relative to the lowest polymorph listed for this composition: 0.274 eV per atom
- Uncorrected energy: -145.8 eV per cell
- Total magnetization: 0.02 μB per cell

Cell and atoms, written as POSCAR:
```
Re
1.0
5.089 0.000 0.000
-2.544 4.407 0.000
0.000 0.000 8.263
Re
12
direct
0.000 0.000 0.000
0.000 0.000 0.500
0.174 0.347 0.250
0.174 0.826 0.250
0.333 0.667 0.571
0.333 0.667 0.929
0.347 0.174 0.750
0.653 0.826 0.250
0.667 0.333 0.071
0.667 0.333 0.429
0.826 0.174 0.750
0.826 0.653 0.750
```

---

3.
This record from OQMD describes an optimized crystal structure of Re. The functional is GGA-PBE.

Properties
- Energy relative to the lowest polymorph listed for this composition: 1.556 eV per atom
- Uncorrected energy: -21.7 eV per cell
- Total magnetization: 0.01 μB per cell

Cell and atoms, written as POSCAR:
```
Re
1.0
0.000 2.811 2.811
2.811 0.000 2.811
2.811 2.811 0.000
Re
2
direct
0.125 0.125 0.125
0.875 0.875 0.875
```

---

4.
This record from OQMD describes an optimized crystal structure of Re. The functional is GGA-PBE.

Properties
- Energy relative to the lowest polymorph listed for this composition: 0.314 eV per atom
- Uncorrected energy: -12.1 eV per cell
- Total magnetization: 0.00 μB per cell

Cell and atoms, written as POSCAR:
```
Re
1.0
-1.610 1.610 1.453
1.610 -1.610 1.453
1.610 1.610 -1.453
Re
1
direct
0.000 0.000 0.000
```

---

5.
This record from OQMD describes an optimized crystal structure of Re. The functional is GGA-PBE.

Properties
- Energy relative to the lowest polymorph listed for this composition: 0.051 eV per atom
- Uncorrected energy: -358.8 eV per cell
- Total magnetization: 0.01 μB per cell

Cell and atoms, written as POSCAR:
```
Re
1.0
-4.787 4.787 4.787
4.787 -4.787 4.787
4.787 4.787 -4.787
Re
29
direct
0.000 0.000 0.000
0.000 0.000 0.646
0.000 0.193 0.374
0.000 0.374 0.193
0.000 0.401 0.685
0.000 0.646 0.000
0.000 0.685 0.401
0.181 0.807 0.807
0.193 0.000 0.374
0.193 0.374 0.000
0.284 0.599 0.599
0.315 0.315 0.716
0.315 0.716 0.315
0.354 0.354 0.354
0.374 0.000 0.193
0.374 0.193 0.000
0.401 0.000 0.685
0.401 0.685 0.000
0.599 0.284 0.599
0.599 0.599 0.284
0.626 0.626 0.819
0.626 0.819 0.626
0.646 0.000 0.000
0.685 0.000 0.401
0.685 0.401 0.000
0.716 0.315 0.315
0.807 0.181 0.807
0.807 0.807 0.181
0.819 0.626 0.626
```

---

6.
This record from OQMD describes an optimized crystal structure of Re. The functional is GGA-PBE.

Properties
- Energy relative to the lowest polymorph listed for this composition: 1.388 eV per atom
- Uncorrected energy: -44.1 eV per cell
- Total magnetization: 0.00 μB per cell

Cell and atoms, written as POSCAR:
```
Re
1.0
4.217 0.000 0.000
-2.109 3.652 0.000
0.000 0.000 4.895
Re
4
direct
0.000 0.000 0.250
0.000 0.000 0.750
0.333 0.667 0.250
0.667 0.333 0.750
```

---

7.
This record from OQMD describes an optimized crystal structure of Re. The functional is GGA-PBE.

Properties
- Energy relative to the lowest polymorph listed for this composition: 0.173 eV per atom
- Uncorrected energy: -98.0 eV per cell
- Total magnetization: 0.00 μB per cell

Cell and atoms, written as POSCAR:
```
Re
1.0
4.943 0.000 0.000
0.000 4.943 0.000
0.000 0.000 4.943
Re
8
direct
0.000 0.000 0.000
0.000 0.250 0.500
0.000 0.750 0.500
0.250 0.500 0.000
0.500 0.000 0.250
0.500 0.000 0.750
0.500 0.500 0.500
0.750 0.500 0.000
```

---

8.
This record from OQMD describes an optimized crystal structure of Re. The functional is GGA-PBE.

Properties
- Energy relative to the lowest polymorph listed for this composition: 0.068 eV per atom
- Uncorrected energy: -247.1 eV per cell
- Total magnetization: 0.00 μB per cell

Cell and atoms, written as POSCAR:
```
Re
1.0
6.724 0.000 0.000
0.000 6.724 0.000
0.000 0.000 6.724
Re
20
direct
0.048 0.048 0.048
0.056 0.875 0.694
0.125 0.194 0.444
0.194 0.444 0.125
0.202 0.798 0.298
0.298 0.202 0.798
0.306 0.556 0.625
0.375 0.806 0.944
0.444 0.125 0.194
0.452 0.952 0.548
0.548 0.452 0.952
0.556 0.625 0.306
0.625 0.306 0.556
0.694 0.056 0.875
0.702 0.702 0.702
0.798 0.298 0.202
0.806 0.944 0.375
0.875 0.694 0.056
0.944 0.375 0.806
0.952 0.548 0.452
```